{
  "formula": "CuBiWF2",
  "functional": "PBE with a Hubbard U",
  "state": "optimized geometry",
  "magnetic_moment_mub_per_atom": 0.541,
  "total_energy_ev_per_cell": -23.02,
  "cell": [[-2.301, 2.900, 1.856], [-3.199, -4.162, 2.538], [2.587, -0.017, 3.234]],
  "species": ["Cu", "Bi", "W", "F", "F"],
  "fractional_positions": [[0.000, 0.500, 0.000], [0.500, 0.500, 0.500], [0.000, 0.000, 0.000], [0.000, 0.000, 0.500], [0.500, 0.000, 0.000]]
}